<a>
First-principles (PBE-GGA) data for Ce6Zn2Hg after structural relaxation, as listed in Alexandria via LeMat-Bulk.

## Properties
The space group is P-62m (189). The value obtained for the spin magnetization is 3.32 μB per cell.

Lattice parameters (Å, degrees): 8.8689 8.8689 3.3088 90.00 90.00 120.00
Atoms (fractional coordinates):
Ce 0.0000 0.4102 0.0000
Ce 0.0000 0.6968 0.5000
Ce 0.3032 0.3032 0.5000
Ce 0.4102 0.0000 0.0000
Ce 0.5898 0.5898 0.0000
Ce 0.6968 0.0000 0.5000
Zn 0.3333 0.6667 0.5000
Zn 0.6667 0.3333 0.5000
Hg 0.0000 0.0000 0.0000

***

<b>
First-principles (PBE-GGA) data for Ce6Zn2Hg after structural relaxation, as listed in Alexandria via LeMat-Bulk.

## Properties
The space group is P6/mmm (191). The value obtained for the spin magnetization is 1.50 μB per cell.

Lattice parameters (Å, degrees): 8.9680 8.9680 2.9273 90.00 90.00 120.00
Atoms (fractional coordinates):
Ce 0.0000 0.3457 0.0000
Ce 0.0000 0.6543 0.0000
Ce 0.3457 0.0000 0.0000
Ce 0.3457 0.3457 0.0000
Ce 0.6543 0.0000 0.0000
Ce 0.6543 0.6543 0.0000
Zn 0.3333 0.6667 0.5000
Zn 0.6667 0.3333 0.5000
Hg 0.0000 0.0000 0.5000

***

The relative energies come out as <a> 1.7; <b> 0.0, with values in kJ/mol of atoms.